This record from the Alexandria database describes a relaxed structure of Ce5Nd3P8. The functional is GGA-PBE.

a = 8.2360 Å, b = 8.2360 Å, c = 8.2371 Å
α = 60.00°, β = 60.00°, γ = 60.00°
Atoms (fractional coordinates):
Nd 0.5000 0.0000 0.5000
P 0.7450 0.2500 0.7550
Nd 0.0000 0.5000 0.5000
Ce 0.0000 0.0000 0.0000
P 0.2550 0.7500 0.2450
P 0.7500 0.7500 0.2450
P 0.2500 0.2500 0.7550
Nd 0.0000 0.0000 0.5000
Ce 0.0000 0.5000 0.0000
P 0.2500 0.7450 0.7550
P 0.7500 0.2550 0.2450
Ce 0.5000 0.5000 0.5000
P 0.7472 0.7472 0.7585
Ce 0.5000 0.0000 0.0000
P 0.2528 0.2528 0.2415
Ce 0.5000 0.5000 0.0000

Output
Total DFT energy (no corrections) in eV per atom: -6.9709
Crystal system: trigonal